i) Below is an optimized crystal structure of KCaTc, with properties calculated at the GGA-PBE level.

Cell lengths 5.2024, 5.2024, 5.2024 Å; angles 60.00, 60.00, 60.00 degrees
Last column: magnetic moment on the atom in μB.
Element x y z (fractional)
Tc (0.0000, 0.0000, 0.0000)  2.38
K (0.7500, 0.7500, 0.7500)  0.01
Ca (0.5000, 0.5000, 0.5000)  -0.09

Symmetry   No. 216

***

ii) Below is an optimized crystal structure of KCaTc, with properties calculated at the GGA-PBE level.

Cell lengths 6.8944, 6.8944, 6.8944 Å; angles 155.68, 139.26, 48.02 degrees
Last column: magnetic moment on the atom in μB.
Element x y z (fractional)
K (0.6773, 0.6773, 0.0000)  0.00
Tc (0.3695, 0.3695, 0.0000)  0.62
Ca (0.9532, 0.9532, 0.0000)  -0.02

Symmetry   No. 44

***

iii) Below is an optimized crystal structure of KCaTc, with properties calculated at the GGA-PBE level.

Cell lengths 5.3589, 5.3589, 5.3589 Å; angles 60.00, 60.00, 60.00 degrees
Last column: magnetic moment on the atom in μB.
Element x y z (fractional)
Tc (0.7500, 0.7500, 0.7500)  2.37
Ca (0.0000, 0.0000, 0.0000)  -0.03
K (0.5000, 0.5000, 0.5000)  -0.01

Symmetry   No. 216

***

iv) Below is an optimized crystal structure of KCaTc, with properties calculated at the GGA-PBE level.

Cell lengths 3.3209, 3.3209, 8.8815 Å; angles 90.00, 90.00, 120.00 degrees
Last column: magnetic moment on the atom in μB.
Element x y z (fractional)
Ca (0.0000, 0.0000, 0.9374)  -0.01
K (0.6667, 0.3333, 0.3759)  0.00
Tc (0.3333, 0.6667, 0.6868)  1.30

Symmetry   No. 156

***

Least stable: i)

***

i) Below is an optimized crystal structure of K3CaTc, with properties calculated at the GGA-PBE level.

Cell lengths 7.2594, 7.2594, 7.2594 Å; angles 90.00, 90.00, 90.00 degrees
Last column: magnetic moment on the atom in μB.
Element x y z (fractional)
Ca (0.0000, 0.0000, 0.0000)  -0.04
K (0.0000, 0.0000, 0.5000)  -0.01
K (0.0000, 0.5000, 0.0000)  -0.01
K (0.5000, 0.0000, 0.0000)  -0.01
Tc (0.5000, 0.5000, 0.5000)  3.71

Symmetry   No. 221

***

ii) Below is an optimized crystal structure of K3CaTc, with properties calculated at the GGA-PBE level.

Cell lengths 6.1418, 6.1418, 6.1418 Å; angles 90.00, 90.00, 90.00 degrees
Element x y z (fractional)
K (0.5000, 0.0000, 0.0000)
K (0.0000, 0.0000, 0.5000)
K (0.0000, 0.5000, 0.0000)
Ca (0.5000, 0.5000, 0.5000)
Tc (0.0000, 0.0000, 0.0000)

Symmetry   No. 221

***

Least stable: i)

***

i) Below is an optimized crystal structure of K3CaTe, with properties calculated at the GGA-PBE level.

Cell lengths 6.7426, 6.7426, 6.7426 Å; angles 90.00, 90.00, 90.00 degrees
Element x y z (fractional)
K (0.0000, 0.0000, 0.5000)
K (0.5000, 0.0000, 0.0000)
K (0.0000, 0.5000, 0.0000)
Ca (0.5000, 0.5000, 0.5000)
Te (0.0000, 0.0000, 0.0000)

Symmetry   No. 221

***

ii) Below is an optimized crystal structure of K3CaTe, with properties calculated at the GGA-PBE level.

Cell lengths 6.9796, 6.9796, 6.9796 Å; angles 90.00, 90.00, 90.00 degrees
Last column: magnetic moment on the atom in μB.
Element x y z (fractional)
K (0.0000, 0.0000, 0.5000)  0.01
K (0.0000, 0.5000, 0.0000)  0.02
K (0.5000, 0.0000, 0.0000)  0.03
Te (0.5000, 0.5000, 0.5000)  -0.01
Ca (0.0000, 0.0000, 0.0000)  0.11

Symmetry   No. 221

***

Least stable: ii)

***

i) Below is an optimized crystal structure of KCa2Te2, with properties calculated at the GGA-PBE level.

Cell lengths 5.9588, 5.9588, 7.2450 Å; angles 65.72, 65.72, 90.00 degrees
Last column: magnetic moment on the atom in μB.
Element x y z (fractional)
Ca (0.3287, 0.3287, 0.3425)  0.07
Ca (0.6713, 0.6713, 0.6575)  0.07
Te (0.7500, 0.2500, 0.5000)  0.02
Te (0.2500, 0.7500, 0.5000)  0.02
K (0.0000, 0.0000, 0.0000)  0.01

Symmetry   No. 139

***

ii) Below is an optimized crystal structure of KCa2Te2, with properties calculated at the GGA-PBE level.

Cell lengths 8.9133, 8.9133, 4.2270 Å; angles 90.00, 90.00, 90.00 degrees
Last column: magnetic moment on the atom in μB.
Element x y z (fractional)
Te (0.6516, 0.1516, 0.0000)  0.00
Te (0.3484, 0.8484, 0.0000)  0.00
Te (0.8484, 0.6516, 0.0000)  0.00
Te (0.1516, 0.3484, 0.0000)  0.00
K (0.5000, 0.5000, 0.0000)  0.04
K (0.0000, 0.0000, 0.0000)  0.04
Ca (0.1475, 0.6475, 0.5000)  0.07
Ca (0.8525, 0.3525, 0.5000)  0.07
Ca (0.3525, 0.1475, 0.5000)  0.08
Ca (0.6475, 0.8525, 0.5000)  0.08

Symmetry   No. 127

***

Least stable: i)

***

i) Below is an optimized crystal structure of K2CaTe2, with properties calculated at the GGA-PBE level.

Cell lengths 7.5479, 8.4186, 8.9228 Å; angles 118.15, 115.02, 90.00 degrees
Element x y z (fractional)
Ca (0.2500, 0.5000, 0.0000)
Ca (0.7500, 0.5000, 0.0000)
Te (0.3912, 0.6141, 0.7824)
Te (0.1088, 0.8317, 0.2176)
Te (0.8912, 0.1683, 0.7824)
Te (0.6088, 0.3859, 0.2176)
K (0.8561, 0.7181, 0.7123)
K (0.6439, 0.0059, 0.2877)
K (0.3561, 0.9941, 0.7123)
K (0.1439, 0.2819, 0.2877)

Symmetry   No. 72

***

ii) Below is an optimized crystal structure of K2CaTe2, with properties calculated at the GGA-PBE level.

Cell lengths 8.7460, 8.7460, 5.0068 Å; angles 90.00, 90.00, 90.00 degrees
Element x y z (fractional)
Te (0.6809, 0.1809, 0.0000)
Te (0.3191, 0.8191, 0.0000)
Te (0.8191, 0.6809, 0.0000)
Te (0.1809, 0.3191, 0.0000)
K (0.3708, 0.1292, 0.5000)
K (0.6292, 0.8708, 0.5000)
K (0.1292, 0.6292, 0.5000)
K (0.8708, 0.3708, 0.5000)
Ca (0.0000, 0.0000, 0.0000)
Ca (0.5000, 0.5000, 0.0000)

Symmetry   No. 127

***

Least stable: ii)

***

i) Below is an optimized crystal structure of KCa2Ti, with properties calculated at the GGA-PBE level.

Cell lengths 5.1617, 5.1617, 12.7733 Å; angles 78.34, 78.34, 90.00 degrees
Last column: magnetic moment on the atom in μB.
Element x y z (fractional)
Ca (0.3750, 0.3547, 0.7500)  0.06
Ca (0.1047, 0.6250, 0.2500)  0.06
Ca (0.8750, 0.8953, 0.7500)  0.06
Ca (0.6453, 0.1250, 0.2500)  0.06
Ti (0.7500, 0.2500, 0.5000)  2.03
Ti (0.0000, 0.0000, 0.0000)  2.03
K (0.2500, 0.7500, 0.5000)  0.04
K (0.5000, 0.5000, 0.0000)  0.04

Symmetry   No. 122

***

ii) Below is an optimized crystal structure of KCa2Ti, with properties calculated at the GGA-PBE level.

Cell lengths 5.9490, 5.9490, 5.9490 Å; angles 60.00, 60.00, 60.00 degrees
Last column: magnetic moment on the atom in μB.
Element x y z (fractional)
Ca (0.7500, 0.7500, 0.7500)  0.08
Ca (0.2500, 0.2500, 0.2500)  0.08
K (0.0000, 0.0000, 0.0000)  0.01
Ti (0.5000, 0.5000, 0.5000)  1.88

Symmetry   No. 225

***

Least stable: i)

***

i) Below is an optimized crystal structure of K2Ca2Ti, with properties calculated at the GGA-PBE level.

Cell lengths 8.4045, 8.4045, 6.8495 Å; angles 90.00, 90.00, 90.00 degrees
Last column: magnetic moment on the atom in μB.
Element x y z (fractional)
Ca (0.1626, 0.3374, 0.0000)  0.14
Ca (0.6626, 0.1626, 0.0000)  0.14
Ca (0.8374, 0.6626, 0.0000)  0.14
Ca (0.3374, 0.8374, 0.0000)  0.14
K (0.1775, 0.6775, 0.5000)  0.01
K (0.6775, 0.8225, 0.5000)  0.01
K (0.3225, 0.1775, 0.5000)  0.01
K (0.8225, 0.3225, 0.5000)  0.01
Ti (0.0000, 0.0000, 0.0000)  2.11
Ti (0.5000, 0.5000, 0.0000)  2.12

Symmetry   No. 127

***

ii) Below is an optimized crystal structure of K2Ca2Ti, with properties calculated at the GGA-PBE level.

Cell lengths 4.6146, 4.6146, 10.8971 Å; angles 77.78, 77.78, 90.00 degrees
Last column: magnetic moment on the atom in μB.
Element x y z (fractional)
Ca (0.5808, 0.5808, 0.8385)  0.09
Ca (0.4192, 0.4192, 0.1615)  0.09
Ti (0.0000, 0.0000, 0.0000)  1.96
K (0.2500, 0.7500, 0.5000)  -0.01
K (0.7500, 0.2500, 0.5000)  -0.01

Symmetry   No. 139

***

Least stable: ii)

***

i) Below is an optimized crystal structure of K2CaTl, with properties calculated at the GGA-PBE level.

Cell lengths 6.7371, 4.0903, 6.2378 Å; angles 83.89, 90.00, 90.00 degrees
Element x y z (fractional)
K (0.0000, 0.4706, 0.4841)
K (0.0000, 0.0294, 0.0159)
Tl (0.5000, 0.2500, 0.2500)
Ca (0.5000, 0.7500, 0.7500)

Symmetry   No. 10

***

ii) Below is an optimized crystal structure of K2CaTl, with properties calculated at the GGA-PBE level.

Cell lengths 4.1621, 4.1621, 11.0091 Å; angles 90.00, 90.00, 90.00 degrees
Element x y z (fractional)
K (0.0000, 0.0000, 0.9633)
K (0.5000, 0.5000, 0.3191)
Tl (0.0000, 0.0000, 0.5429)
Ca (0.5000, 0.5000, 0.6746)

Symmetry   No. 99

***

Least stable: i)

***

i) Below is an optimized crystal structure of K2CaTl, with properties calculated at the GGA-PBE level.

Cell lengths 13.3680, 13.3680, 13.3680 Å; angles 17.36, 17.36, 17.36 degrees
Element x y z (fractional)
K (0.5099, 0.5099, 0.5099)
K (0.9901, 0.9901, 0.9901)
Ca (0.7500, 0.7500, 0.7500)
Tl (0.2500, 0.2500, 0.2500)

Symmetry   No. 166

***

ii) Below is an optimized crystal structure of K2CaTl, with properties calculated at the GGA-PBE level.

Cell lengths 7.7385, 7.7385, 7.7385 Å; angles 148.36, 128.43, 61.78 degrees
Element x y z (fractional)
Ca (0.6987, 0.1987, 0.5000)
K (0.2908, 0.7908, 0.5000)
K (0.9947, 0.9947, 0.0000)
Tl (0.5158, 0.5158, 0.0000)

Symmetry   No. 44

***

Least stable: i)

***

i) Below is an optimized crystal structure of KCaTl, with properties calculated at the GGA-PBE level.

Cell lengths 7.7576, 7.7581, 4.1254 Å; angles 74.57, 74.59, 30.84 degrees
Element x y z (fractional)
K (0.3155, 0.3155, 0.6845)
Tl (0.6411, 0.6411, 0.3589)
Ca (0.0434, 0.0434, 0.9566)

Symmetry   No. 107

***

ii) Below is an optimized crystal structure of KCaTl, with properties calculated at the GGA-PBE level.

Cell lengths 5.7268, 5.7268, 5.7268 Å; angles 60.00, 60.00, 60.00 degrees
Element x y z (fractional)
K (0.7500, 0.7500, 0.7500)
Ca (0.5000, 0.5000, 0.5000)
Tl (0.0000, 0.0000, 0.0000)

Symmetry   No. 216

***

iii) Below is an optimized crystal structure of KCaTl, with properties calculated at the GGA-PBE level.

Cell lengths 4.0855, 4.0855, 8.8676 Å; angles 90.00, 90.00, 120.00 degrees
Element x y z (fractional)
Ca (0.0000, 0.0000, 0.9454)
Tl (0.3333, 0.6667, 0.6852)
K (0.6667, 0.3333, 0.3694)

Symmetry   No. 156

***

iv) Below is an optimized crystal structure of KCaTl, with properties calculated at the GGA-PBE level.

Cell lengths 5.7254, 5.7254, 5.7254 Å; angles 60.00, 60.00, 60.00 degrees
Last column: magnetic moment on the atom in μB.
Element x y z (fractional)
Tl (0.2500, 0.2500, 0.2500)  0.19
Ca (0.0000, 0.0000, 0.0000)  0.10
K (0.5000, 0.5000, 0.5000)  0.03

Symmetry   No. 216

***

Least stable: ii)

***

i) Below is an optimized crystal structure of KCa3Tl, with properties calculated at the GGA-PBE level.

Cell lengths 6.1751, 6.1751, 6.1751 Å; angles 90.00, 90.00, 90.00 degrees
Element x y z (fractional)
Ca (0.0000, 0.0000, 0.5000)
Ca (0.0000, 0.5000, 0.0000)
Ca (0.5000, 0.0000, 0.0000)
Tl (0.0000, 0.0000, 0.0000)
K (0.5000, 0.5000, 0.5000)

Symmetry   No. 221

***

ii) Below is an optimized crystal structure of KCa3Tl, with properties calculated at the GGA-PBE level.

Cell lengths 6.4069, 6.4069, 6.4069 Å; angles 90.00, 90.00, 90.00 degrees
Element x y z (fractional)
Ca (0.0000, 0.0000, 0.5000)
Ca (0.5000, 0.0000, 0.0000)
Ca (0.0000, 0.5000, 0.0000)
K (0.0000, 0.0000, 0.0000)
Tl (0.5000, 0.5000, 0.5000)

Symmetry   No. 221

***

Least stable: ii)